1.
A relaxed structure of Na3LiHg2. Source: Alexandria, functional PBE. Values from VASP.

The structure in Quantum ESPRESSO input format:
```
&SYSTEM
  ibrav = 0, nat = 6, ntyp = 3
/
ATOMIC_SPECIES
Hg 200.59 Hg.upf
Na 22.99 Na.upf
Li 6.94 Li.upf
CELL_PARAMETERS angstrom
3.341 0.000 0.000
0.000 4.297 0.000
0.000 0.000 11.139
ATOMIC_POSITIONS angstrom
Hg 0.000 0.000 4.956
Hg 0.000 2.148 0.219
Na 1.671 0.000 1.933
Na 1.671 0.000 9.657
Na 1.671 2.148 6.985
Li 1.671 2.148 4.098
```

Properties
Offset from the most stable computed form in eV per formula unit: 0.00
DFT formation energy in eV/atom: -0.1475
Symmetry: Pmm2 (25)
Total magnetization in Bohr magnetons per cell: 0.00

2.
A relaxed structure of BaZnTe2. Source: Alexandria, functional PBE. Values from VASP.

The structure in Quantum ESPRESSO input format:
```
&SYSTEM
  ibrav = 0, nat = 4, ntyp = 3
/
ATOMIC_SPECIES
Ba 137.33 Ba.upf
Te 127.60 Te.upf
Zn 65.41 Zn.upf
CELL_PARAMETERS angstrom
-1.293 -3.026 3.008
-2.969 -1.620 -2.905
5.220 -4.846 -2.632
ATOMIC_POSITIONS angstrom
Ba 2.195 -6.338 -2.129
Te -0.168 -4.145 -0.938
Te 5.091 -4.726 -2.567
Zn 1.672 -1.552 -0.843
```

Properties
Symmetry: P4mm (99)
Total magnetization in Bohr magnetons per cell: 0.00
E_form (uncorrected) in eV per atom: -0.746

3.
A relaxed structure of RbSrTa. Source: Alexandria, functional PBE. Values from VASP.

The structure in Quantum ESPRESSO input format:
```
&SYSTEM
  ibrav = 0, nat = 6, ntyp = 3
/
ATOMIC_SPECIES
Ta 180.95 Ta.upf
Sr 87.62 Sr.upf
Rb 85.47 Rb.upf
CELL_PARAMETERS angstrom
-2.608 -2.688 0.180
2.694 -2.599 0.212
-0.093 1.307 17.744
ATOMIC_POSITIONS angstrom
Ta 0.121 -1.819 10.877
Sr 0.096 -1.574 14.177
Ta -2.537 -1.791 11.841
Rb 0.155 -2.274 4.647
Rb -2.500 -2.630 0.325
Sr -2.513 -2.035 8.541
```

Properties
Offset from the most stable computed form in eV per formula unit: 0.00
DFT formation energy in eV/atom: 0.4595
Symmetry: P1 (1)
Total magnetization in Bohr magnetons per cell: 0.00

4.
A relaxed structure of NpIn2B2Pt7. Source: Alexandria, functional PBE. Values from VASP.

The structure in Quantum ESPRESSO input format:
```
&SYSTEM
  ibrav = 0, nat = 12, ntyp = 4
/
ATOMIC_SPECIES
Pt 195.08 Pt.upf
In 114.82 In.upf
B 10.81 B.upf
Np 237.00 Np.upf
CELL_PARAMETERS angstrom
-2.369 -1.149 -3.072
-1.336 -3.107 2.221
-11.800 4.048 3.801
ATOMIC_POSITIONS angstrom
Pt -4.213 -2.445 1.485
Pt -1.852 -2.128 -0.425
Pt -9.355 -0.062 1.803
In -7.501 1.988 2.199
B -4.156 -0.405 0.661
B -11.348 0.198 2.288
Pt -4.734 -1.458 -1.183
Pt -10.770 1.251 4.132
Pt -6.149 -0.145 1.147
In -8.003 -2.195 0.750
Np 0.000 0.000 0.000
Pt -11.291 2.237 1.464
```

Properties
DFT formation energy in eV/atom: -0.3755
Symmetry: C2/m (12)
Total magnetization in Bohr magnetons per cell: 3.66

> Which formula does entry 4 have?

NpIn2B2Pt7

> total magnetization of number 2 (BaZnTe2)?

0.00 Bohr magnetons per cell

> What is the total magnetization in the third record?

0.00 Bohr magnetons per cell

> Which of these has the highest total magnetization?

NpIn2B2Pt7